Record 1
## RbZnTeI2 (PBE)

Data for a geometry-optimized RbZnTeI2 structure.

Geometry as POSCAR:
```
RbZnTeI2
1.0
-4.769 3.158 -1.801
-2.923 -1.563 4.997
1.919 4.306 2.470
I Zn Te Rb
2 1 1 1
Direct
0.000 0.500 0.000 I
0.500 0.000 0.000 I
0.000 0.000 0.000 Zn
0.000 0.000 0.500 Te
0.500 0.500 0.500 Rb
```

Properties
- Energy above the most stable polymorph in this dataset: 0 meV/atom
- Formation energy from raw total energies: -535 meV per atom
- Volume: 191 Å³ per cell
- Spin magnetization: 0.67 μB per formula unit

Record 2
## RbZnTeI2 (PBE)

Data for a geometry-optimized RbZnTeI2 structure.

Geometry as POSCAR:
```
RbZnTeI2
1.0
-3.289 -4.009 4.705
0.276 -5.419 -4.425
6.456 -1.979 2.826
I Zn Te Rb
2 1 1 1
Direct
0.000 0.500 0.000 I
0.500 0.000 0.000 I
0.500 0.500 0.500 Zn
0.000 0.000 0.500 Te
0.000 0.000 0.000 Rb
```

Properties
- Energy above the most stable polymorph in this dataset: 824 meV/atom
- Formation energy from raw total energies: 289 meV per atom
- Volume: 359 Å³ per cell
- Spin magnetization: 3.09 μB per formula unit